[1]
VASP calculation (PBE) on a geometry-optimized GeAsBr2O structure.

Lattice parameters (Å, degrees): 4.8011 4.8011 4.4134 90.00 90.00 90.00
With the nearest neighbours (Å) after each atom.
Sites, in units of the cell vectors:
As  0.0000  0.0000  0.5000  2 O 2.21
O  0.0000  0.0000  0.0000  2 As 2.21, 4 Br 2.40
Br  0.0000  0.5000  0.0000  2 O 2.40
Br  0.5000  0.0000  0.0000  2 O 2.40
Ge  0.5000  0.5000  0.5000  8 Br 3.26, 4 As 3.39

Results
- Crystal system: tetragonal
- Magnetic moment: 0.00 Bohr magnetons per cell
- V: 101.7 Å³/cell
- Formation energy from raw total energies: 469 meV per atom
- Energy relative to the lowest polymorph listed for this composition: 0.00 kJ/mol of atoms
- N(E_F): 0.36 states/eV/atom


[2]
VASP calculation (PBE) on a geometry-optimized GeAsBr2O structure.

Lattice parameters (Å, degrees): 5.0391 5.0391 5.2730 90.00 90.00 90.00
With the nearest neighbours (Å) after each atom.
Sites, in units of the cell vectors:
Ge  0.0000  0.0000  0.0000  4 Br 2.52, 2 As 2.64
Br  0.0000  0.5000  0.0000  2 Ge 2.52
Br  0.5000  0.0000  0.0000  2 Ge 2.52
As  0.0000  0.0000  0.5000  2 Ge 2.64
O  0.5000  0.5000  0.5000  4 As 3.56, 8 Br 3.65

Results
- Crystal system: tetragonal
- Magnetic moment: 0.00 Bohr magnetons per cell
- V: 133.9 Å³/cell
- Formation energy from raw total energies: 884 meV per atom
- Energy relative to the lowest polymorph listed for this composition: 40.06 kJ/mol of atoms
- N(E_F): 1.88 states/eV/atom


[3]
VASP calculation (PBE) on a geometry-optimized GeAs2BrO structure.

Lattice parameters (Å, degrees): 5.0156 5.0156 5.3490 90.00 90.00 90.00
With the nearest neighbours (Å) after each atom.
Sites, in units of the cell vectors:
As  0.0000  0.5000  0.0000  2 Ge 2.51
As  0.5000  0.0000  0.0000  2 Ge 2.51
Br  0.0000  0.0000  0.5000  2 Ge 2.67
O  0.5000  0.5000  0.5000  4 Br 3.55, 8 As 3.67
Ge  0.0000  0.0000  0.0000  4 As 2.51, 2 Br 2.67

Results
- Crystal system: tetragonal
- Magnetic moment: 3.13 Bohr magnetons per cell
- V: 134.6 Å³/cell
- Formation energy from raw total energies: 1062 meV per atom
- Energy relative to the lowest polymorph listed for this composition: 80.13 kJ/mol of atoms
- N(E_F): 1.25 states/eV/atom


[4]
VASP calculation (PBE) on a geometry-optimized GeAs2BrO structure.

Lattice parameters (Å, degrees): 4.1555 4.1555 6.1746 90.00 90.00 90.00
With the nearest neighbours (Å) after each atom.
Sites, in units of the cell vectors:
Ge  0.5000  0.5000  0.5000  4 Br 2.94
As  0.5000  0.0000  0.0000  2 O 2.08
As  0.0000  0.5000  0.0000  2 O 2.08
O  0.0000  0.0000  0.0000  4 As 2.08
Br  0.0000  0.0000  0.5000  4 Ge 2.94, 2 O 3.09

Results
- Crystal system: tetragonal
- Magnetic moment: 0.00 Bohr magnetons per cell
- V: 106.6 Å³/cell
- Formation energy from raw total energies: 231 meV per atom
- Energy relative to the lowest polymorph listed for this composition: 0.00 kJ/mol of atoms
- N(E_F): 0.47 states/eV/atom


Q: Look up the N(E_F) of the second one.
A: 1.88 states/eV/atom


Q: Among the records above, which one has the lowest V?
A: number 1